1.
This record from the Alexandria database describes a geometry-optimized RbSi2Bi2 structure. The functional is PBE-GGA.

Computed properties:
- energy relative to the elements, uncorrected (eV/atom) = 0.19

Cell: 5.074 5.074 13.118 Å, 90.00 90.00 90.00°
Element x y z (fractional)
Rb: 0.000 0.000 0.000
Rb: 0.500 0.500 0.500
Si: 0.000 0.500 0.250
Si: 0.000 0.500 0.750
Si: 0.500 0.000 0.250
Si: 0.500 0.000 0.750
Bi: 0.000 0.000 0.352
Bi: 0.000 0.000 0.648
Bi: 0.500 0.500 0.148
Bi: 0.500 0.500 0.852

2.
This record from the Alexandria database describes a geometry-optimized AlAg2P structure. The functional is PBE-GGA.

Computed properties:
- distance to the lowest polymorph of the same formula (meV per atom) = 61
- energy of formation (eV/atom) = 0.15

Cell: 3.905 3.905 18.724 Å, 90.00 90.00 90.00°
Element x y z (fractional)
Al: 0.000 0.000 0.000
Al: 0.000 0.500 0.250
Al: 0.500 0.000 0.750
Al: 0.500 0.500 0.500
Ag: 0.249 0.250 0.125
Ag: 0.250 0.749 0.375
Ag: 0.250 0.751 0.875
Ag: 0.251 0.250 0.625
Ag: 0.749 0.750 0.625
Ag: 0.750 0.249 0.875
Ag: 0.750 0.251 0.375
Ag: 0.751 0.750 0.125
P: 0.000 0.000 0.500
P: 0.000 0.500 0.750
P: 0.500 0.000 0.250
P: 0.500 0.500 0.000

3.
This record from the Alexandria database describes a geometry-optimized BaPuAu3 structure. The functional is PBE-GGA.

Computed properties:
- energy of formation (eV/atom) = -0.57

Cell: 14.644 14.644 4.695 Å, 90.00 90.00 164.11°
Element x y z (fractional)
Ba: 0.075 0.925 0.750
Ba: 0.925 0.075 0.250
Pu: 0.208 0.792 0.250
Pu: 0.792 0.208 0.750
Au: 0.313 0.687 0.250
Au: 0.373 0.627 0.750
Au: 0.473 0.527 0.750
Au: 0.527 0.473 0.250
Au: 0.627 0.373 0.250
Au: 0.687 0.313 0.750